KCd3Pd | PBE-GGA | relaxed

The space group is No. 119. For the energy relative to the elements, the calculation gives 0.67 eV per formula unit. The value obtained for the total magnetization is 0.0 μB/f.u.

Geometry as extended XYZ:
```
10
Lattice="-2.631 2.631 12.556 2.631 -2.631 12.556 2.631 2.631 -12.556" Properties=species:S:1:pos:R:3 pbc="T T T"
K 0.000 0.000 0.000
K 0.000 2.631 6.278
Cd 0.000 0.000 8.595
Cd 0.000 1.296 3.278
Cd 0.000 0.000 16.516
Cd -1.336 2.631 9.277
Cd 1.336 2.631 9.277
Cd 0.000 3.967 3.278
Pd 2.631 0.000 4.808
Pd 2.631 0.000 7.747
```

---

KCd3Pd | PBE-GGA | relaxed

The space group is No. 62. For the energy relative to the elements, the calculation gives -0.41 eV per formula unit. The value obtained for the total magnetization is 0.0 μB/f.u.

Geometry as extended XYZ:
```
20
Lattice="9.463 0.000 0.000 0.000 7.991 0.000 0.000 0.000 6.791" Properties=species:S:1:pos:R:3 pbc="T T T"
K 0.000 0.000 0.000
K 0.000 3.996 0.000
K 4.732 0.000 3.396
K 4.732 3.996 3.396
Cd 1.332 0.543 3.186
Cd 1.332 3.452 3.186
Cd 2.124 5.994 2.001
Cd 2.607 1.998 5.397
Cd 3.399 4.539 6.581
Cd 3.399 7.448 6.581
Cd 6.064 0.543 0.210
Cd 6.064 3.452 0.210
Cd 6.856 5.994 1.394
Cd 7.339 1.998 4.790
Cd 8.131 4.539 3.606
Cd 8.131 7.448 3.606
Pd 1.813 5.994 4.681
Pd 2.919 1.998 1.286
Pd 6.544 5.994 5.505
Pd 7.650 1.998 2.110
```

---

KCd12Pd6 | PBE-GGA | relaxed

The space group is No. 166. For the energy relative to the elements, the calculation gives -3.96 eV per formula unit. The value obtained for the total magnetization is 0.0 μB/f.u.

Geometry as extended XYZ:
```
19
Lattice="6.266 3.618 3.121 -6.266 3.618 3.121 0.000 -7.235 3.121" Properties=species:S:1:pos:R:3 pbc="T T T"
K 0.000 0.000 0.000
Cd -2.395 -4.148 4.682
Cd -4.789 0.000 4.682
Cd -1.653 -0.954 2.956
Cd 1.653 -0.954 2.956
Cd 0.000 1.909 2.956
Cd 2.395 -4.148 4.682
Cd -2.395 4.148 4.682
Cd 0.000 -1.909 6.407
Cd -1.653 0.954 6.407
Cd 1.653 0.954 6.407
Cd 4.789 0.000 4.682
Cd 2.395 4.148 4.682
Pd 0.000 -3.002 3.860
Pd -2.600 1.501 3.860
Pd -2.600 -1.501 5.503
Pd 2.600 1.501 3.860
Pd 2.600 -1.501 5.503
Pd 0.000 3.002 5.503
```

---

Look up the energy relative to the elements of the third one.
-3.96 eV per formula unit